First-principles (GGA-PBE) data for a relaxed structure of LiCd2SnHg2, as listed in the Alexandria database.

POSCAR file:
```
LiCd2SnHg2
1.0
2.4230 1.3989 7.3061
-2.4230 1.3989 7.3061
0.0000 -2.7979 7.3061
Li Cd Sn Hg
1 2 1 2
direct
0.0000 0.0000 0.0000
0.2239 0.2239 0.2239
0.7761 0.7761 0.7761
0.5000 0.5000 0.5000
0.3627 0.3627 0.3627
0.6373 0.6373 0.6373
```

## Properties
- DOS(E_F) (states/eV/atom) = 0.30
- final energy (eV per atom) = -1.4529
- E_form (eV per atom) = -0.06